Record 1
Tm2Zn12Cu3Ni, relaxed, DFT PBE-GGA; V = 16.88 Å³ per atom; space-group type = R-3m, No. 166; calculated formation energy = -31 meV/atom
1.0
2.692 1.554 12.104
-2.692 1.554 12.104
0.000 -3.109 12.104
Tm Zn Cu Ni
2 12 3 1
Direct
0.146 0.146 0.146
0.854 0.854 0.854
0.106 0.106 0.628
0.106 0.628 0.106
0.111 0.613 0.613
0.372 0.894 0.894
0.387 0.387 0.889
0.387 0.889 0.387
0.613 0.111 0.613
0.613 0.613 0.111
0.628 0.106 0.106
0.889 0.387 0.387
0.894 0.372 0.894
0.894 0.894 0.372
0.000 0.500 0.500
0.500 0.000 0.500
0.500 0.500 0.000
0.500 0.500 0.500

=====

Record 2
Ca6Cd23, relaxed, DFT PBE-GGA; V = 24.91 Å³ per atom; space-group type = Fm-3m, No. 225; calculated formation energy = -225 meV/atom
1.0
0.000 7.122 7.122
7.122 0.000 7.122
7.122 7.122 0.000
Ca Cd
6 23
Direct
0.215 0.215 0.785
0.215 0.785 0.215
0.215 0.785 0.785
0.785 0.215 0.215
0.785 0.215 0.785
0.785 0.785 0.215
0.000 0.000 0.500
0.000 0.500 0.000
0.000 0.500 0.500
0.130 0.623 0.623
0.160 0.160 0.160
0.160 0.160 0.519
0.160 0.519 0.160
0.377 0.377 0.377
0.377 0.377 0.870
0.377 0.870 0.377
0.481 0.840 0.840
0.500 0.000 0.000
0.500 0.000 0.500
0.500 0.500 0.000
0.500 0.500 0.500
0.519 0.160 0.160
0.623 0.130 0.623
0.623 0.623 0.130
0.623 0.623 0.623
0.840 0.481 0.840
0.840 0.840 0.481
0.840 0.840 0.840
0.870 0.377 0.377

=====

Record 3
Li4NpSc3Te8, relaxed, DFT PBE-GGA; energy relative to the elements, uncorrected = -1.067 eV per atom; V = 26.94 Å³ per atom; space-group type = R-3m, No. 166
1.0
4.219 2.436 6.992
-4.219 2.436 6.992
0.000 -4.871 6.992
Li Np Sc Te
4 1 3 8
Direct
0.000 0.000 0.000
0.000 0.500 0.500
0.500 0.000 0.500
0.500 0.500 0.000
0.500 0.500 0.500
0.000 0.000 0.500
0.000 0.500 0.000
0.500 0.000 0.000
0.237 0.756 0.756
0.244 0.244 0.763
0.244 0.763 0.244
0.247 0.247 0.247
0.753 0.753 0.753
0.756 0.237 0.756
0.756 0.756 0.237
0.763 0.244 0.244

=====

Record 4
PrIrRh3, relaxed, DFT PBE-GGA; V = 18.04 Å³ per atom; space-group type = Imma, No. 74; calculated formation energy = -233 meV/atom
1.0
-2.610 3.659 4.723
2.610 -3.659 4.723
2.610 3.659 -4.723
Pr Ir Rh
2 2 6
Direct
0.252 0.002 0.250
0.748 0.998 0.750
0.000 0.500 0.500
0.500 0.500 0.000
0.187 0.000 0.687
0.187 0.500 0.187
0.445 0.695 0.750
0.555 0.305 0.250
0.813 0.000 0.313
0.813 0.500 0.813

=====

Record 5
Hf6InSb2, relaxed, DFT PBE-GGA; energy relative to the elements, uncorrected = -0.170 eV per atom; V = 22.80 Å³ per atom; space-group type = P2_1/c, No. 14
1.0
5.543 0.000 0.000
0.000 8.033 0.000
-5.429 0.000 9.216
Hf In Sb
12 2 4
Direct
0.016 0.196 0.437
0.016 0.304 0.937
0.303 0.034 0.190
0.303 0.466 0.690
0.345 0.658 0.453
0.345 0.842 0.953
0.655 0.158 0.047
0.655 0.342 0.547
0.697 0.534 0.310
0.697 0.966 0.810
0.984 0.696 0.063
0.984 0.804 0.563
0.500 0.000 0.500
0.500 0.500 0.000
0.140 0.116 0.739
0.140 0.384 0.239
0.860 0.616 0.761
0.860 0.884 0.261

=====

no.,total moment (Bohr magnetons per cell)
1,0.00
2,0.00
3,4.01
4,0.00
5,0.00